Record 1
This record from Alexandria via LeMat-Bulk describes an optimized crystal structure of Ac2TbIn. The functional is PBE-GGA.

The structure in POSCAR format:
```
Ac2TbIn
1.0
5.1699 0.0000 0.0000
0.0000 5.2189 0.0000
0.0000 0.0000 5.2189
Ac Tb In
2 1 1
Cartesian
0.0000 0.0000 2.6095
0.0000 2.6095 0.0000
2.5849 2.6095 2.6095
2.5849 0.0000 0.0000
```

Values from the calculation:
**E_form**: -0.1642 eV/atom
**Space-group type**: P4/mmm
**Magnetic moment**: 0.00 μB/cell
**Energy above the most stable polymorph in this dataset**: 18 meV per atom

Record 2
This record from Alexandria via LeMat-Bulk describes an optimized crystal structure of Ba5Mg4Cd. The functional is PBE-GGA.

The structure in POSCAR format:
```
Ba5Mg4Cd
1.0
4.3232 0.0000 0.0000
0.0000 4.3232 0.0000
0.0000 0.0000 21.9380
Ba Mg Cd
5 4 1
Cartesian
2.1616 2.1616 2.0909
2.1616 2.1616 6.5460
2.1616 2.1616 10.9690
2.1616 2.1616 15.3920
2.1616 2.1616 19.8471
0.0000 0.0000 4.3510
0.0000 0.0000 8.7580
0.0000 0.0000 13.1800
0.0000 0.0000 17.5870
0.0000 0.0000 0.0000
```

Values from the calculation:
**E_form**: -0.1105 eV/atom
**Space-group type**: P4/mmm
**Magnetic moment**: 0.00 μB/cell

Record 3
This record from Alexandria via LeMat-Bulk describes an optimized crystal structure of Sc2PbBr. The functional is PBE-GGA.

The structure in POSCAR format:
```
Sc2PbBr
1.0
3.3650 -0.0059 0.0000
0.0058 3.3650 0.0000
0.0000 0.0000 9.6868
Br Pb Sc
1 1 2
Cartesian
0.0000 0.0000 4.0954
1.6854 1.6795 7.6422
0.0000 0.0000 0.2621
1.6854 1.6795 2.5304
```

Values from the calculation:
**Space-group type**: P4mm
**Magnetic moment**: 0.00 μB/cell
**Energy above the most stable polymorph in this dataset**: 97 meV per atom
**Uncorrected formation energy**: -511 meV/atom

Record 4
This record from Alexandria via LeMat-Bulk describes an optimized crystal structure of RbLaZn2Cl. The functional is PBE-GGA.

The structure in POSCAR format:
```
RbLaZn2Cl
1.0
5.6226 0.0000 0.0000
0.0000 5.5264 0.0000
0.0000 0.0000 5.6226
Zn Cl Rb La
2 1 1 1
Cartesian
0.0000 0.0000 2.8113
2.8113 0.0000 0.0000
0.0000 0.0000 0.0000
0.0000 2.7632 0.0000
2.8113 2.7632 2.8113
```

Values from the calculation:
**Space-group type**: P4/mmm
**Magnetic moment**: 1.34 μB/cell
**Uncorrected formation energy**: 191 meV/atom

Record 5
This record from Alexandria via LeMat-Bulk describes an optimized crystal structure of TbPm3NdSc. The functional is PBE-GGA.

The structure in POSCAR format:
```
TbPm3NdSc
1.0
-0.0441 -2.2620 -4.5564
2.8682 -6.6698 3.2834
-10.6505 0.8936 -0.3405
Tb Pm Nd Sc
2 6 2 2
Cartesian
0.4297 -4.6426 0.8807
-8.2561 -3.3957 -2.4942
1.9945 -7.4873 -0.5621
-9.8209 -0.5510 -1.0514
-3.0695 -4.3945 0.7913
-4.7570 -3.6438 -2.4049
-1.1743 -4.0590 -2.2334
-6.6521 -3.9793 0.6199
-2.8243 -1.1104 -0.8414
-5.0021 -6.9279 -0.7722
-6.2844 -0.8163 -0.9539
-1.5420 -7.2220 -0.6596
```

Values from the calculation:
**E_form**: 0.0416 eV/atom
**Space-group type**: P2_1/m
**Magnetic moment**: 0.00 μB/cell

Record 6
This record from Alexandria via LeMat-Bulk describes an optimized crystal structure of MgPH. The functional is PBE-GGA.

The structure in POSCAR format:
```
MgPH
1.0
-5.0382 -1.4377 -4.8741
4.1377 -4.5786 -2.9265
-3.2890 -6.3409 5.2702
P Mg H
8 8 8
Cartesian
-0.1045 -6.1623 -2.0267
-3.2879 -8.8471 -3.1972
-2.6664 -2.7746 -2.9790
-2.3203 -6.9305 3.1421
-4.0850 -6.1949 -0.5037
-0.9017 -3.5101 0.6668
-1.5232 -9.5826 0.4486
-1.8692 -5.4267 -5.6725
-2.0975 -4.6290 -1.3056
-6.2830 -6.0445 -1.8145
0.3816 -5.4753 -4.4463
-0.3802 -8.5656 2.5057
-2.0920 -7.7282 -1.2248
2.0935 -6.3127 -0.7159
-4.5712 -6.8819 1.9159
-3.8094 -3.7916 -5.0361
0.1167 -4.4055 1.1659
-3.8684 -4.9471 0.1920
-1.6719 -5.8765 -7.0315
-2.9555 -9.4853 0.6127
-4.3063 -7.9517 -3.6963
-0.3212 -7.4101 -2.7224
-2.5176 -6.4807 4.5011
-1.2340 -2.8719 -3.1431
```

Values from the calculation:
**Space-group type**: Pbca
**Magnetic moment**: 0.00 μB/cell
**Energy above the most stable polymorph in this dataset**: 64 meV per atom

Record 7
This record from Alexandria via LeMat-Bulk describes an optimized crystal structure of YEr3Pu. The functional is PBE-GGA.

The structure in POSCAR format:
```
YEr3Pu
1.0
6.8988 0.0000 0.0000
0.0000 4.9906 -2.0042
0.0000 1.1149 17.1771
Y Er Pu
4 12 4
Cartesian
6.8879 2.9509 14.5383
0.0109 3.1546 0.6345
3.4385 3.7120 9.2231
3.4603 2.3934 5.9498
1.7086 1.7703 11.6015
5.1902 4.3351 3.5714
5.1581 4.8926 12.1599
1.7408 1.2129 3.0129
5.1660 1.7699 11.6002
1.7328 4.3356 3.5727
1.7166 4.8930 12.1612
5.1822 1.2125 3.0116
0.0105 2.3917 5.9451
6.8883 3.7138 9.2278
3.4599 3.1563 0.6392
3.4389 2.9491 14.5336
1.7053 0.5576 8.5890
5.1935 5.5479 6.5839
5.1547 6.1053 15.1724
1.7441 0.0001 0.0005
```

Values from the calculation:
**E_form**: 0.1003 eV/atom
**Space-group type**: P2_1/c
**Magnetic moment**: 26.70 μB/cell

Record 8
This record from Alexandria via LeMat-Bulk describes an optimized crystal structure of FeSiTe2. The functional is PBE-GGA.

The structure in POSCAR format:
```
FeSiTe2
1.0
-1.3197 1.9903 -3.3683
1.7621 0.0686 -3.7334
-3.6886 -5.2610 -3.4432
Fe Si Te
1 1 2
Cartesian
-1.2637 -1.0971 -4.8920
-1.2449 -1.4853 -2.6900
-0.4228 -0.5755 -0.5394
-1.9378 -1.6452 -7.6958
```

Values from the calculation:
**Space-group type**: Cm
**Magnetic moment**: 0.00 μB/cell
**Uncorrected formation energy**: 58 meV/atom

Record 9
This record from Alexandria via LeMat-Bulk describes an optimized crystal structure of Tl2CrRe. The functional is PBE-GGA.

The structure in POSCAR format:
```
Tl2CrRe
1.0
-2.6394 -1.5130 0.4160
-0.4158 -0.1105 -3.0403
4.1066 -7.2463 -0.2983
Cr Re Tl
1 1 2
Cartesian
-0.5010 -2.6233 -1.3867
1.5523 -6.2464 -1.5359
4.0964 -7.2282 -0.2975
2.0636 -3.6413 -0.1499
```

Values from the calculation:
**E_form**: 1.0418 eV/atom
**Space-group type**: P4/mmm
**Magnetic moment**: 5.31 μB/cell
**Energy above the most stable polymorph in this dataset**: 526 meV per atom

Record 10
This record from Alexandria via LeMat-Bulk describes an optimized crystal structure of LiPm4Pb2. The functional is PBE-GGA.

The structure in POSCAR format:
```
LiPm4Pb2
1.0
-1.6308 4.7154 0.2769
-4.6942 -1.5853 -0.6500
2.2558 -2.3799 8.7218
Pb Li Pm
2 1 4
Cartesian
-3.4092 1.3433 2.1358
-0.6600 -0.5931 6.2129
0.0000 0.0000 0.0000
-3.7445 1.0419 5.2927
-0.3246 -0.2917 3.0560
-2.3471 -0.7926 -0.3250
-0.8154 2.3577 0.1385
```

Values from the calculation:
**E_form**: -0.0668 eV/atom
**Space-group type**: I4/mmm
**Magnetic moment**: 0.00 μB/cell
**Energy above the most stable polymorph in this dataset**: 135 meV per atom

Record 11
This record from Alexandria via LeMat-Bulk describes an optimized crystal structure of La2TiAg. The functional is PBE-GGA.

The structure in POSCAR format:
```
La2TiAg
1.0
-2.9792 -1.9010 4.0549
-4.7502 -2.3135 -1.0072
-0.5966 -5.3070 0.6412
Ti Ag La
1 1 2
Cartesian
0.0000 0.0000 0.0000
-4.1630 -4.7608 1.8444
-2.0815 -2.3804 0.9222
-6.2445 -7.1412 2.7666
```

Values from the calculation:
**E_form**: 0.1491 eV/atom
**Space-group type**: Fm-3m
**Magnetic moment**: 2.53 μB/cell
**Energy above the most stable polymorph in this dataset**: 71 meV per atom

Record 12
This record from Alexandria via LeMat-Bulk describes an optimized crystal structure of BPRhC. The functional is PBE-GGA.

The structure in POSCAR format:
```
BPRhC
1.0
-1.5485 -4.6949 -2.8204
2.8704 -0.0749 -1.4513
2.3947 -1.4464 4.8107
P C B Rh
2 2 2 2
Cartesian
0.7268 -2.3310 1.5577
0.9646 -1.6452 -1.5733
-1.1862 -3.6082 -2.1599
1.4463 -4.3688 -0.4802
1.4289 -3.4894 3.0060
1.6667 -2.8037 -0.1250
-0.4861 -4.7712 -0.7152
2.1465 -5.5318 0.9645
```

Values from the calculation:
**E_form**: 0.1636 eV/atom
**Space-group type**: Cm
**Magnetic moment**: 0.00 μB/cell
**Energy above the most stable polymorph in this dataset**: 116 meV per atom

| no. | final energy (eV for the cell shown) |
| --- | --- |
| 1 | -16.24 |
| 2 | -18.01 |
| 3 | -20.09 |
| 4 | -9.33 |
| 5 | -59.46 |
| 6 | -90.18 |
| 7 | -135.93 |
| 8 | -19.94 |
| 9 | -22.64 |
| 10 | -28.80 |
| 11 | -20.00 |
| 12 | -56.02 |